Density functional theory data (PBE) for a relaxed CrMo2Os6 crystal.

Computed properties:
DFT total energy, eV per atom: -10.721
Total moment, μB per cell: 0.00
Theoretical density, g cm⁻³: 17.25

Cell and atoms, written as POSCAR:
```
CrMo2Os6
1.0
5.154 0.022 0.754
0.847 7.114 2.213
0.106 0.616 7.472
Mo Os Cr
4 12 2
direct
0.589 0.659 0.706
0.911 0.294 0.341
0.089 0.706 0.659
0.411 0.341 0.294
0.002 0.651 0.338
0.297 0.032 0.612
0.498 0.662 0.349
0.218 0.993 0.258
0.718 0.258 0.993
0.797 0.612 0.032
0.998 0.349 0.662
0.203 0.388 0.968
0.502 0.338 0.651
0.782 0.007 0.742
0.282 0.742 0.007
0.703 0.968 0.388
0.750 0.919 0.081
0.250 0.081 0.919
```